1.
Here is an optimized crystal structure of TaBeBr2 from Alexandria via LeMat-Bulk. Energies are from GGA-PBE.

```
data_TaBeBr2
_chemical_formula_sum 'Ta1 Be1 Br2'
_cell_length_a 4.906
_cell_length_b 4.906
_cell_length_c 3.145
_cell_angle_alpha 90.00
_cell_angle_beta 90.00
_cell_angle_gamma 103.68
_space_group_name_H-M_alt 'P 1'
_space_group_IT_number 1
loop_
_space_group_symop_operation_xyz
'x,y,z'
loop_
_atom_site_label
_atom_site_fract_x
_atom_site_fract_y
_atom_site_fract_z
Ta1 0.000 0.000 0.000
Be1 0.500 0.500 0.000
Br1 0.000 0.500 0.500
Br2 0.500 0.000 0.500
```

V ... 73.5 Å³/cell
Total magnetization ... 0.00 μB/f.u.
Uncorrected formation energy ... 368 kJ/mol of formula units
Space group ... No. 65



2.
Here is an optimized crystal structure of Ta2BeBr from Alexandria via LeMat-Bulk. Energies are from GGA-PBE.

```
data_Ta2BeBr
_chemical_formula_sum 'Ta2 Be1 Br1'
_cell_length_a 4.583
_cell_length_b 4.583
_cell_length_c 4.583
_cell_angle_alpha 60.00
_cell_angle_beta 60.00
_cell_angle_gamma 60.00
_space_group_name_H-M_alt 'P 1'
_space_group_IT_number 1
loop_
_space_group_symop_operation_xyz
'x,y,z'
loop_
_atom_site_label
_atom_site_fract_x
_atom_site_fract_y
_atom_site_fract_z
Ta1 0.000 0.000 0.000
Ta2 0.250 0.250 0.250
Be1 0.750 0.750 0.750
Br1 0.500 0.500 0.500
```

V ... 68.1 Å³/cell
Total magnetization ... 0.00 μB/f.u.
Uncorrected formation energy ... 401 kJ/mol of formula units
Space group ... No. 216



3.
Here is an optimized crystal structure of TaBe2Br from Alexandria via LeMat-Bulk. Energies are from GGA-PBE.

```
data_TaBe2Br
_chemical_formula_sum 'Ta2 Be4 Br2'
_cell_length_a 5.417
_cell_length_b 5.417
_cell_length_c 5.417
_cell_angle_alpha 104.35
_cell_angle_beta 104.35
_cell_angle_gamma 120.28
_space_group_name_H-M_alt 'P 1'
_space_group_IT_number 1
loop_
_space_group_symop_operation_xyz
'x,y,z'
loop_
_atom_site_label
_atom_site_fract_x
_atom_site_fract_y
_atom_site_fract_z
Ta1 0.000 0.000 0.000
Ta2 0.750 0.250 0.500
Be1 0.146 0.625 0.021
Be2 0.375 0.396 0.521
Be3 0.604 0.125 0.979
Be4 0.875 0.854 0.479
Br1 0.250 0.750 0.500
Br2 0.500 0.500 0.000
```

V ... 119.1 Å³/cell
Total magnetization ... 0.00 μB/f.u.
Uncorrected formation energy ... 351 kJ/mol of formula units
Space group ... No. 122



What did the first record say?
Here is an optimized crystal structure of TaBeBr2 from Alexandria via LeMat-Bulk. Energies are from GGA-PBE.

```
data_TaBeBr2
_chemical_formula_sum 'Ta1 Be1 Br2'
_cell_length_a 4.906
_cell_length_b 4.906
_cell_length_c 3.145
_cell_angle_alpha 90.00
_cell_angle_beta 90.00
_cell_angle_gamma 103.68
_space_group_name_H-M_alt 'P 1'
_space_group_IT_number 1
loop_
_space_group_symop_operation_xyz
'x,y,z'
loop_
_atom_site_label
_atom_site_fract_x
_atom_site_fract_y
_atom_site_fract_z
Ta1 0.000 0.000 0.000
Be1 0.500 0.500 0.000
Br1 0.000 0.500 0.500
Br2 0.500 0.000 0.500
```

V ... 73.5 Å³/cell
Total magnetization ... 0.00 μB/f.u.
Uncorrected formation energy ... 368 kJ/mol of formula units
Space group ... No. 65



Repeat the third record exactly.
Here is an optimized crystal structure of TaBe2Br from Alexandria via LeMat-Bulk. Energies are from GGA-PBE.

```
data_TaBe2Br
_chemical_formula_sum 'Ta2 Be4 Br2'
_cell_length_a 5.417
_cell_length_b 5.417
_cell_length_c 5.417
_cell_angle_alpha 104.35
_cell_angle_beta 104.35
_cell_angle_gamma 120.28
_space_group_name_H-M_alt 'P 1'
_space_group_IT_number 1
loop_
_space_group_symop_operation_xyz
'x,y,z'
loop_
_atom_site_label
_atom_site_fract_x
_atom_site_fract_y
_atom_site_fract_z
Ta1 0.000 0.000 0.000
Ta2 0.750 0.250 0.500
Be1 0.146 0.625 0.021
Be2 0.375 0.396 0.521
Be3 0.604 0.125 0.979
Be4 0.875 0.854 0.479
Br1 0.250 0.750 0.500
Br2 0.500 0.500 0.000
```

V ... 119.1 Å³/cell
Total magnetization ... 0.00 μB/f.u.
Uncorrected formation energy ... 351 kJ/mol of formula units
Space group ... No. 122